Entry 1:
A relaxed structure of RbLiInS2, computed with PBE.

Final energy   -3.50 eV per atom
DOS at the Fermi energy   14.86 states/eV per cell
Formation energy (no corrections)   -3.65 eV per formula unit

Lattice parameters (Å, degrees): 6.689 14.621 6.018 90.00 90.00 90.00
Space group Cmme (No. 67)
One atom of each set of equivalent atoms:
Rb 0.000 0.250 0.249 (multiplicity 4)
Li 0.000 0.000 0.500 (multiplicity 4)
In 0.250 0.000 0.000 (multiplicity 4)
S 0.000 0.112 0.764 (multiplicity 8)

---

Entry 2:
A relaxed structure of Nd2ThZn3, computed with PBE.

Formation energy from the elements   -0.2597 eV per atom
Final energy   -3.72 eV per atom
Offset from the most stable computed form   0 meV per atom
DOS at the Fermi energy   7.09 states/eV per cell

Lattice parameters (Å, degrees): 3.677 3.677 11.050 90.00 90.00 90.00
Space group P4/mmm (No. 123)
One atom of each set of equivalent atoms:
Nd 0.000 0.000 0.168 (multiplicity 2)
Th 0.000 0.000 0.500 (multiplicity 1)
Zn 0.500 0.500 0.000 (multiplicity 1)
Zn 0.500 0.500 0.333 (multiplicity 2)

---

Entry 3:
A relaxed structure of TcH2Pb2, computed with PBE.

Final energy   -4.37 eV per atom
Offset from the most stable computed form   0 meV per atom
DOS at the Fermi energy   6.81 states/eV per cell

Lattice parameters (Å, degrees): 4.873 4.873 6.602 90.00 90.00 90.00
Space group I4/mmm (No. 139)
One atom of each set of equivalent atoms:
Tc 0.000 0.000 0.000 (multiplicity 2)
H 0.000 0.000 0.442 (multiplicity 4)
Pb 0.000 0.500 0.250 (multiplicity 4)

---

Entry 4:
A relaxed structure of Ce2MnAl8, computed with PBE.

Formation energy from the elements   -0.3047 eV per atom
Final energy   -4.94 eV per atom
DOS at the Fermi energy   11.52 states/eV per cell

Lattice parameters (Å, degrees): 4.325 4.325 11.302 90.00 90.00 90.00
Space group P4/mmm (No. 123)
One atom of each set of equivalent atoms:
Ce 0.000 0.000 0.194 (multiplicity 2)
Mn 0.000 0.000 0.500 (multiplicity 1)
Al 0.000 0.500 0.000 (multiplicity 2)
Al 0.000 0.500 0.382 (multiplicity 4)
Al 0.500 0.500 0.192 (multiplicity 2)